An optimized crystal structure of YPbSe2N, computed with GGA-PBE.

```
YPbSe2N
1.0
-4.4846 -1.5792 -2.8864
-0.1689 -4.7625 2.8681
-2.6145 1.9098 3.0172
Se Pb Y N
2 1 1 1
Direct
0.5000 0.0000 0.0000 Se
0.0000 0.5000 0.0000 Se
0.5000 0.5000 0.5000 Pb
0.0000 0.0000 0.0000 Y
0.0000 0.0000 0.5000 N
```

Summary:
N(E_F)	1.91	states/eV per cell
volume	137	Å³/f.u.
magnetic moment	2.0	μB/f.u.
formation energy from raw total energies	-107	kJ/mol of formula units